The following is a DFT calculation (PBE-GGA) of a relaxed structure of BaSiN2F.

Computed properties:
SG: P4/mmm (123)
V (Å³/atom): 21.61
Formation energy from raw total energies (meV per atom): 1140.8
D(E_F) (states/eV/atom): 0.2847
Total moment (μB per formula unit): 1.00
Offset from the most stable computed form (kcal/mol of atoms): 52.15
DFT total energy (Ry/atom): -0.2964

Lattice parameters (Å, degrees): 4.741 4.741 4.806 90.00 90.00 90.00
Element x y z (fractional)
N1 0.000 0.500 0.000
N2 0.500 0.000 0.000
F1 0.000 0.000 0.500
Ba1 0.000 0.000 0.000
Si1 0.500 0.500 0.500



The following is a DFT calculation (PBE-GGA) of a relaxed structure of BaSnNF2.

Computed properties:
SG: P4/mmm (123)
V (Å³/atom): 23.44
Formation energy from raw total energies (meV per atom): -899.3
D(E_F) (states/eV/atom): 0.1797
Total moment (μB per formula unit): 0.00
Offset from the most stable computed form (kcal/mol of atoms): 17.49
DFT total energy (Ry/atom): -0.3306

Lattice parameters (Å, degrees): 4.872 4.872 4.938 90.00 90.00 90.00
Element x y z (fractional)
F1 0.500 0.000 0.000
F2 0.000 0.500 0.000
Sn1 0.500 0.500 0.500
N1 0.000 0.000 0.500
Ba1 0.000 0.000 0.000



The following is a DFT calculation (PBE-GGA) of a relaxed structure of BaSnNF2.

Computed properties:
SG: P4/mmm (123)
V (Å³/atom): 18.56
Formation energy from raw total energies (meV per atom): -1657.7
D(E_F) (states/eV/atom): 0.0232
Total moment (μB per formula unit): 0.00
Offset from the most stable computed form (kcal/mol of atoms): 0.00
DFT total energy (Ry/atom): -0.3863

Lattice parameters (Å, degrees): 4.652 4.652 4.288 90.00 90.00 90.00
Element x y z (fractional)
F1 0.000 0.500 0.000
F2 0.500 0.000 0.000
Ba1 0.500 0.500 0.500
Sn1 0.000 0.000 0.000
N1 0.000 0.000 0.500



The following is a DFT calculation (PBE-GGA) of a relaxed structure of BaSrNF2.

Computed properties:
SG: P4/mmm (123)
V (Å³/atom): 23.42
Formation energy from raw total energies (meV per atom): -1737.4
D(E_F) (states/eV/atom): 0.0987
Total moment (μB per formula unit): 0.00
Offset from the most stable computed form (kcal/mol of atoms): 7.93
DFT total energy (Ry/atom): -0.3581

Lattice parameters (Å, degrees): 4.903 4.903 4.870 90.00 90.00 90.00
Element x y z (fractional)
N1 0.000 0.000 0.500
F1 0.500 0.000 0.000
F2 0.000 0.500 0.000
Ba1 0.000 0.000 0.000
Sr1 0.500 0.500 0.500



The following is a DFT calculation (PBE-GGA) of a relaxed structure of BaSrN2F.

Computed properties:
SG: P4/mmm (123)
V (Å³/atom): 19.78
Formation energy from raw total energies (meV per atom): -483.7
D(E_F) (states/eV/atom): 0.4688
Total moment (μB per formula unit): 0.50
Offset from the most stable computed form (kcal/mol of atoms): 0.00
DFT total energy (Ry/atom): -0.3608

Lattice parameters (Å, degrees): 4.568 4.568 4.741 90.00 90.00 90.00
Element x y z (fractional)
N1 0.500 0.000 0.000
N2 0.000 0.500 0.000
Sr1 0.000 0.000 0.000
F1 0.000 0.000 0.500
Ba1 0.500 0.500 0.500



The following is a DFT calculation (PBE-GGA) of a relaxed structure of BaSrN2F.

Computed properties:
SG: P4/mmm (123)
V (Å³/atom): 21.91
Formation energy from raw total energies (meV per atom): -261.3
D(E_F) (states/eV/atom): 0.2726
Total moment (μB per formula unit): 1.01
Offset from the most stable computed form (kcal/mol of atoms): 5.13
DFT total energy (Ry/atom): -0.3445

Lattice parameters (Å, degrees): 4.707 4.707 4.945 90.00 90.00 90.00
Element x y z (fractional)
F1 0.000 0.000 0.500
N1 0.000 0.500 0.000
N2 0.500 0.000 0.000
Sr1 0.500 0.500 0.500
Ba1 0.000 0.000 0.000



- Which formula does entry 4 have?
  BaSrNF2



- Among the records above, which one has the highest DFT total energy?
  BaSiN2F